# RbCaTiP2 | Alexandria | SCAN | PBEsol geometry
data_RbCaTiP2
_chemical_formula_sum 'Rb1 Ca1 Ti1 P2'
_cell_length_a 4.875
_cell_length_b 4.875
_cell_length_c 5.085
_cell_angle_alpha 90.00
_cell_angle_beta 90.00
_cell_angle_gamma 90.00
_symmetry_space_group_name_H-M 'P 4/m m m'
_symmetry_Int_Tables_number 123
_symmetry_space_group_name_Hall '-P 4 2'
loop_
_atom_site_label
_atom_site_type_symbol
_atom_site_fract_x
_atom_site_fract_y
_atom_site_fract_z
_atom_site_occupancy
Rb1 Rb 0.000 0.000 0.000 1
Ca1 Ca 0.500 0.500 0.000 1
Ti1 Ti 0.000 0.000 0.500 1
P1 P 0.000 0.500 0.500 1
# Final energy in eV/cell: -67.041